# 1
Material: Ac3RhPbN
Method: DFT, PBE
State: optimized geometry

a = 9.686 Å, b = 4.277 Å, c = 10.283 Å
α = 90.00°, β = 105.40°, γ = 90.00°
Space group P2_1/m (No. 11)
Unique sites:
Ac  0.051  0.250  0.349 x2
Ac  0.332  0.250  0.970 x2
Ac  0.384  0.750  0.654 x2
Rh  0.158  0.250  0.642 x2
Pb  0.299  0.750  0.269 x2
N  0.420  0.750  0.892 x2

Summary:
* DOS(E_F): 2.4 states/eV/f.u.
* calculated total energy: -35.9 eV per formula unit
* energy relative to the elements, uncorrected: -4.17 eV per formula unit
* magnetic moment: 0.00 Bohr magnetons per cell

# 2
Material: Ac5RhPb2N
Method: DFT, PBE
State: optimized geometry

a = 4.558 Å, b = 19.445 Å, c = 14.185 Å
α = 90.00°, β = 90.00°, γ = 90.00°
Space group Cmc2_1 (No. 36)
Unique sites:
Ac  0.000  0.007  0.000 x4
Ac  0.000  0.161  0.231 x4
Ac  0.000  0.173  0.609 x4
Ac  0.000  0.210  0.893 x4
Ac  0.000  0.466  0.227 x4
Rh  0.000  0.307  0.254 x4
Pb  0.000  0.365  0.552 x4
Pb  0.000  0.388  0.908 x4
N  0.000  0.047  0.649 x4

Summary:
* DOS(E_F): 4.9 states/eV/f.u.
* calculated total energy: -49.9 eV per formula unit
* energy relative to the elements, uncorrected: -6.24 eV per formula unit
* magnetic moment: 0.00 Bohr magnetons per cell

# 3
Material: Ac4PbS2N
Method: DFT, PBE
State: optimized geometry

a = 4.345 Å, b = 15.205 Å, c = 15.119 Å
α = 90.00°, β = 90.00°, γ = 90.00°
Space group Cmcm (No. 63)
Unique sites:
Ac  0.000  0.000  0.000 x4
Ac  0.000  0.260  0.124 x8
Ac  0.000  0.423  0.750 x4
Pb  0.000  0.102  0.750 x4
S  0.000  0.369  0.554 x8
N  0.000  0.164  0.250 x4

Summary:
* DOS(E_F): 4.1 states/eV/f.u.
* calculated total energy: -48.0 eV per formula unit
* energy relative to the elements, uncorrected: -11.30 eV per formula unit
* magnetic moment: 0.00 Bohr magnetons per cell

# 4
Material: Ac5Pb2SN
Method: DFT, PBE
State: optimized geometry

a = 4.623 Å, b = 19.381 Å, c = 13.804 Å
α = 90.00°, β = 90.00°, γ = 90.00°
Space group Cmc2_1 (No. 36)
Unique sites:
Ac  0.000  0.002  0.000 x4
Ac  0.000  0.153  0.232 x4
Ac  0.000  0.179  0.596 x4
Ac  0.000  0.201  0.894 x4
Ac  0.000  0.463  0.232 x4
Pb  0.000  0.369  0.550 x4
Pb  0.000  0.382  0.912 x4
S  0.000  0.306  0.244 x4
N  0.000  0.051  0.655 x4

Summary:
* DOS(E_F): 7.1 states/eV/f.u.
* calculated total energy: -49.1 eV per formula unit
* energy relative to the elements, uncorrected: -8.64 eV per formula unit
* magnetic moment: 4.18 Bohr magnetons per cell

# 5
Material: Ac4PbSN
Method: DFT, PBE
State: optimized geometry

a = 7.447 Å, b = 7.696 Å, c = 8.959 Å
α = 90.00°, β = 106.52°, γ = 90.00°
Space group P2_1/m (No. 11)
Unique sites:
Ac  0.015  0.009  0.271 x4
Ac  0.425  0.250  0.133 x2
Ac  0.467  0.250  0.577 x2
Pb  0.221  0.750  0.051 x2
S  0.193  0.750  0.552 x2
N  0.241  0.250  0.322 x2

Summary:
* DOS(E_F): 5.7 states/eV/f.u.
* calculated total energy: -39.1 eV per formula unit
* energy relative to the elements, uncorrected: -6.50 eV per formula unit
* magnetic moment: 0.00 Bohr magnetons per cell

# 6
Material: AcSbPbN
Method: DFT, PBE
State: optimized geometry

a = 3.828 Å, b = 3.828 Å, c = 14.228 Å
α = 90.00°, β = 90.00°, γ = 90.00°
Space group I4mm (No. 107)
Unique sites:
Ac  0.000  0.000  0.000 x2
Sb  0.000  0.000  0.342 x2
Pb  0.000  0.000  0.686 x2
N  0.000  0.000  0.500 x2

Summary:
* DOS(E_F): 1.7 states/eV/f.u.
* calculated total energy: -21.8 eV per formula unit
* energy relative to the elements, uncorrected: -1.50 eV per formula unit
* magnetic moment: 0.00 Bohr magnetons per cell

# 7
Material: Ac4PbSe2N
Method: DFT, PBE
State: optimized geometry

a = 4.374 Å, b = 15.442 Å, c = 15.710 Å
α = 90.00°, β = 90.00°, γ = 90.00°
Space group Cmcm (No. 63)
Unique sites:
Ac  0.000  0.000  0.000 x4
Ac  0.000  0.266  0.130 x8
Ac  0.000  0.418  0.750 x4
Pb  0.000  0.096  0.750 x4
Se  0.000  0.364  0.554 x8
N  0.000  0.170  0.250 x4

Summary:
* DOS(E_F): 4.7 states/eV/f.u.
* calculated total energy: -46.2 eV per formula unit
* energy relative to the elements, uncorrected: -10.77 eV per formula unit
* magnetic moment: 0.00 Bohr magnetons per cell

# 8
Material: Ac5Pb2SeN
Method: DFT, PBE
State: optimized geometry

a = 4.631 Å, b = 19.507 Å, c = 14.095 Å
α = 90.00°, β = 90.00°, γ = 90.00°
Space group Cmc2_1 (No. 36)
Unique sites:
Ac  0.000  0.006  0.000 x4
Ac  0.000  0.150  0.240 x4
Ac  0.000  0.175  0.597 x4
Ac  0.000  0.201  0.908 x4
Ac  0.000  0.468  0.226 x4
Pb  0.000  0.367  0.563 x4
Pb  0.000  0.382  0.916 x4
Se  0.000  0.307  0.253 x4
N  0.000  0.049  0.651 x4

Summary:
* DOS(E_F): 6.9 states/eV/f.u.
* calculated total energy: -48.1 eV per formula unit
* energy relative to the elements, uncorrected: -8.37 eV per formula unit
* magnetic moment: 4.47 Bohr magnetons per cell

# 9
Material: Ac2Sm4Pb3N2
Method: DFT, PBE
State: optimized geometry

a = 4.930 Å, b = 4.930 Å, c = 26.733 Å
α = 90.00°, β = 90.00°, γ = 90.00°
Space group I4/mmm (No. 139)
Unique sites:
Ac  0.000  0.000  0.191 x4
Sm  0.000  0.500  0.081 x8
Pb  0.000  0.000  0.329 x4
Pb  0.000  0.000  0.500 x2
N  0.000  0.000  0.098 x4

Summary:
* DOS(E_F): 1.5 states/eV/f.u.
* calculated total energy: -64.4 eV per formula unit
* energy relative to the elements, uncorrected: -9.52 eV per formula unit
* magnetic moment: 0.00 Bohr magnetons per cell

# 10
Material: Ac7SnPb2N2
Method: DFT, PBE
State: optimized geometry

a = 7.495 Å, b = 7.494 Å, c = 14.522 Å
α = 90.00°, β = 104.95°, γ = 90.00°
Space group C2/m (No. 12)
Unique sites:
Ac  0.000  0.000  0.000 x2
Ac  0.157  0.250  0.813 x8
Ac  0.194  0.000  0.390 x4
Sn  0.000  0.500  0.000 x2
Pb  0.179  0.500  0.360 x4
N  0.100  0.000  0.202 x4

Summary:
* DOS(E_F): 7.4 states/eV/f.u.
* calculated total energy: -65.6 eV per formula unit
* energy relative to the elements, uncorrected: -8.77 eV per formula unit
* magnetic moment: 0.00 Bohr magnetons per cell

# 11
Material: Ac4SnPbN
Method: DFT, PBE
State: optimized geometry

a = 7.276 Å, b = 18.214 Å, c = 7.299 Å
α = 90.00°, β = 90.00°, γ = 90.00°
Space group Cmcm (No. 63)
Unique sites:
Ac  0.000  0.070  0.250 x4
Ac  0.000  0.416  0.250 x4
Ac  0.250  0.250  0.000 x8
Sn  0.000  0.113  0.750 x4
Pb  0.000  0.390  0.750 x4
N  0.000  0.277  0.250 x4

Summary:
* DOS(E_F): 4.0 states/eV/f.u.
* calculated total energy: -37.6 eV per formula unit
* energy relative to the elements, uncorrected: -5.14 eV per formula unit
* magnetic moment: 0.00 Bohr magnetons per cell

# 12
Material: Ac4SnPb2N2
Method: DFT, PBE
State: optimized geometry

a = 19.691 Å, b = 4.018 Å, c = 8.028 Å
α = 90.00°, β = 112.14°, γ = 90.00°
Space group C2/m (No. 12)
Unique sites:
Ac  0.064  0.000  0.375 x4
Ac  0.225  0.500  0.279 x4
Sn  0.000  0.500  0.000 x2
Pb  0.115  0.500  0.788 x4
N  0.185  0.000  0.396 x4

Summary:
* DOS(E_F): 6.0 states/eV/f.u.
* calculated total energy: -51.2 eV per formula unit
* energy relative to the elements, uncorrected: -6.74 eV per formula unit
* magnetic moment: 0.00 Bohr magnetons per cell

# 13
Material: SrAcPbN
Method: DFT, PBE
State: optimized geometry

a = 3.8890 Å, b = 3.8890 Å, c = 25.7652 Å
α = 90.00°, β = 90.00°, γ = 120.00°
Space group R3m (No. 160, hexagonal axes)
Unique sites:
Sr  0.0000  0.0000  0.0000 x3
Ac  0.0000  0.0000  0.7831 x3
Pb  0.0000  0.0000  0.5619 x3
N  0.0000  0.0000  0.3997 x3

Summary:
* DOS(E_F): 1.0 states/eV/f.u.
* calculated total energy: -20.7 eV per formula unit
* energy relative to the elements, uncorrected: -2.84 eV per formula unit
* magnetic moment: 0.00 Bohr magnetons per cell

# 14
Material: SrAc2PbN
Method: DFT, PBE
State: optimized geometry

a = 5.335 Å, b = 5.335 Å, c = 5.331 Å
α = 90.00°, β = 90.00°, γ = 90.00°
Space group P4/mmm (No. 123)
Unique sites:
Sr  0.000  0.000  0.000 x1
Ac  0.000  0.500  0.500 x2
Pb  0.500  0.500  0.000 x1
N  0.000  0.000  0.500 x1

Summary:
* DOS(E_F): 2.2 states/eV/f.u.
* calculated total energy: -25.6 eV per formula unit
* energy relative to the elements, uncorrected: -3.68 eV per formula unit
* magnetic moment: 0.00 Bohr magnetons per cell

# 15
Material: Ac2ThPb2N2
Method: DFT, PBE
State: optimized geometry

a = 4.690 Å, b = 4.690 Å, c = 17.529 Å
α = 90.00°, β = 90.00°, γ = 90.00°
Space group I4/mmm (No. 139)
Unique sites:
Ac  0.000  0.000  0.100 x4
Th  0.000  0.000  0.500 x2
Pb  0.000  0.000  0.290 x4
N  0.000  0.500  0.000 x4

Summary:
* DOS(E_F): 2.7 states/eV/f.u.
* calculated total energy: -45.3 eV per formula unit
* energy relative to the elements, uncorrected: -5.64 eV per formula unit
* magnetic moment: 0.00 Bohr magnetons per cell

# 16
Material: Ac4TlPb2N2
Method: DFT, PBE
State: optimized geometry

a = 19.786 Å, b = 4.056 Å, c = 7.880 Å
α = 90.00°, β = 110.22°, γ = 90.00°
Space group C2/m (No. 12)
Unique sites:
Ac  0.067  0.000  0.379 x4
Ac  0.228  0.500  0.279 x4
Tl  0.000  0.500  0.000 x2
Pb  0.113  0.500  0.787 x4
N  0.186  0.000  0.396 x4

Summary:
* DOS(E_F): 4.6 states/eV/f.u.
* calculated total energy: -49.2 eV per formula unit
* energy relative to the elements, uncorrected: -6.37 eV per formula unit
* magnetic moment: 0.00 Bohr magnetons per cell

# 17
Material: Ac4TlPbN
Method: DFT, PBE
State: optimized geometry

a = 7.316 Å, b = 18.224 Å, c = 7.320 Å
α = 90.00°, β = 90.00°, γ = 90.00°
Space group Cmcm (No. 63)
Unique sites:
Ac  0.000  0.068  0.250 x4
Ac  0.000  0.415  0.250 x4
Ac  0.250  0.250  0.000 x8
Tl  0.000  0.114  0.750 x4
Pb  0.000  0.390  0.750 x4
N  0.000  0.277  0.250 x4

Summary:
* DOS(E_F): 2.1 states/eV/f.u.
* calculated total energy: -35.2 eV per formula unit
* energy relative to the elements, uncorrected: -4.32 eV per formula unit
* magnetic moment: 0.00 Bohr magnetons per cell

# 18
Material: Ac12Pd3N5
Method: DFT, PBE
State: optimized geometry

a = 16.862 Å, b = 16.862 Å, c = 16.862 Å
α = 90.00°, β = 90.00°, γ = 90.00°
Space group Ia-3d (No. 230)
Unique sites:
Ac  0.033  0.053  0.650 x96
Pd  0.000  0.250  0.125 x24
N  0.000  0.000  0.000 x16
N  0.000  0.250  0.375 x24

Summary:
* DOS(E_F): 22.5 states/eV/f.u.
* calculated total energy: -120.5 eV per formula unit
* energy relative to the elements, uncorrected: -13.95 eV per formula unit
* magnetic moment: 0.03 Bohr magnetons per cell